Material: NaCdSe2Br
Method: DFT, PBE-GGA
State: relaxed

a b c (Å): 5.227 5.227 5.292
angles (deg): 90.00 90.00 90.00
Atoms (fractional coordinates):
Na: 0.000 0.000 0.000
Cd: 0.500 0.500 0.500
Se: 0.000 0.500 0.000
Se: 0.500 0.000 0.000
Br: 0.000 0.000 0.500

Summary:
**Offset from the most stable computed form**: 2.569 eV/f.u.
**Energy relative to the elements, uncorrected**: 258 meV per atom



Material: KBa2Pb
Method: DFT, PBE-GGA
State: relaxed

a b c (Å): 6.329 6.329 6.329
angles (deg): 60.00 60.00 60.00
Atoms (fractional coordinates):
K: 0.000 0.000 0.000
Ba: 0.250 0.250 0.250
Ba: 0.500 0.500 0.500
Pb: 0.750 0.750 0.750

Summary:
**E**: -2.2523 eV per atom